1.
# PBE-GGA MgMnNi2Pb, relaxed
# Energy, eV for the cell shown: -20.820
# Calculated volume, Å³ per atom: 23.30
# Density of states at the Fermi level, states/eV/cell: 4.85
data_MgMnNi2Pb
_cell_length_a 4.816
_cell_length_b 5.022
_cell_length_c 4.816
_cell_angle_alpha 90.00
_cell_angle_beta 90.00
_cell_angle_gamma 90.00
_symmetry_space_group_name_H-M 'P 1'
_symmetry_Int_Tables_number 1
_symmetry_space_group_name_Hall 'P 1'
loop_
_atom_site_label
_atom_site_type_symbol
_atom_site_fract_x
_atom_site_fract_y
_atom_site_fract_z
Pb1 Pb 0.000 0.000 0.000
Mn1 Mn 0.000 0.500 0.000
Mg1 Mg 0.500 0.500 0.500
Ni1 Ni 0.500 0.000 0.000
Ni2 Ni 0.000 0.000 0.500

---

2.
# PBE-GGA PuMgMnNi, relaxed
# Energy, eV for the cell shown: -30.680
# Calculated volume, Å³ per atom: 17.17
# Density of states at the Fermi level, states/eV/cell: 7.29
data_PuMgMnNi
_cell_length_a 4.597
_cell_length_b 4.597
_cell_length_c 4.597
_cell_angle_alpha 60.00
_cell_angle_beta 60.00
_cell_angle_gamma 60.00
_symmetry_space_group_name_H-M 'P 1'
_symmetry_Int_Tables_number 1
_symmetry_space_group_name_Hall 'P 1'
loop_
_atom_site_label
_atom_site_type_symbol
_atom_site_fract_x
_atom_site_fract_y
_atom_site_fract_z
Mg1 Mg 0.500 0.500 0.500
Pu1 Pu 0.000 0.000 0.000
Mn1 Mn 0.250 0.250 0.250
Ni1 Ni 0.750 0.750 0.750

---

3.
# PBE-GGA MgMnNiRu, relaxed
# Energy, eV for the cell shown: -25.742
# Calculated volume, Å³ per atom: 13.42
# Density of states at the Fermi level, states/eV/cell: 6.10
data_MgMnNiRu
_cell_length_a 4.234
_cell_length_b 4.234
_cell_length_c 4.234
_cell_angle_alpha 60.00
_cell_angle_beta 60.00
_cell_angle_gamma 60.00
_symmetry_space_group_name_H-M 'P 1'
_symmetry_Int_Tables_number 1
_symmetry_space_group_name_Hall 'P 1'
loop_
_atom_site_label
_atom_site_type_symbol
_atom_site_fract_x
_atom_site_fract_y
_atom_site_fract_z
Mn1 Mn 0.500 0.500 0.500
Mg1 Mg 0.000 0.000 0.000
Ni1 Ni 0.250 0.250 0.250
Ru1 Ru 0.750 0.750 0.750